CrIrAu2 | GGA-PBE | relaxed

Computed properties:
Offset from the most stable computed form, meV/atom: 266.4
DFT formation energy, eV/atom: 0.34
Space group: Immm, No. 71

abc: 5.3504 5.3504 5.3504
angles: 145.57 130.78 61.44
Closest atoms and distances in Å follow each position.
Fractional positions:
Au 0.9899 0.9899 0.0000  2 Cr 2.72, 4 Au 2.74, 2 Ir 2.87
Au 0.5101 0.5101 0.0000  2 Cr 2.72, 4 Au 2.74, 2 Ir 2.87
Cr 0.7500 0.2500 0.5000  4 Au 2.72, 4 Ir 2.73
Ir 0.2500 0.7500 0.5000  4 Cr 2.73, 4 Au 2.87

***

CrIr2Au4 | GGA-PBE | relaxed

Computed properties:
DFT formation energy, eV/atom: 1.14
Space group: I4/mmm, No. 139

abc: 4.8262 4.8262 7.3270
angles: 70.77 70.77 90.00
Closest atoms and distances in Å follow each position.
Fractional positions:
Cr 0.0000 0.0000 0.0000  6 Au 2.41-2.58
Ir 0.6021 0.6021 0.7958  5 Au 2.58-2.75, 1 Ir 2.65
Ir 0.3979 0.3979 0.2042  5 Au 2.58-2.75, 1 Ir 2.65
Au 0.8013 0.8013 0.3974  1 Cr 2.58, 1 Ir 2.58
Au 0.1987 0.1987 0.6026  1 Cr 2.58, 1 Ir 2.58
Au 0.0000 0.5000 0.0000  2 Cr 2.41
Au 0.5000 0.0000 0.0000  2 Cr 2.41

***

CrIrAu2 | GGA-PBE | relaxed

Computed properties:
Offset from the most stable computed form, meV/atom: 563.6
DFT formation energy, eV/atom: 0.64
Space group: I-42d, No. 122

abc: 7.3483 7.3483 5.8354
angles: 50.98 50.98 90.00
Closest atoms and distances in Å follow each position.
Fractional positions:
Cr 0.5000 0.5000 0.0000  2 Ir 2.66, 4 Au 2.68
Cr 0.2500 0.7500 0.5000  2 Ir 2.66, 4 Au 2.68
Ir 0.0000 0.0000 0.0000  2 Cr 2.66, 4 Au 2.69
Ir 0.7500 0.2500 0.5000  2 Cr 2.66, 4 Au 2.69
Au 0.6240 0.1250 0.2500  2 Au 2.66, 2 Cr 2.68, 2 Ir 2.69
Au 0.1260 0.6250 0.2500  2 Au 2.66, 2 Cr 2.68, 2 Ir 2.69
Au 0.3750 0.3760 0.7500  2 Au 2.66, 2 Cr 2.68, 2 Ir 2.69
Au 0.8750 0.8740 0.7500  2 Au 2.66, 2 Cr 2.68, 2 Ir 2.69

***

In Å³ per cell, the V values for the records above are, in order, 65, 151, 143.